Record 1
DFT (PBE) results for crystalline AcAs3 at its relaxed geometry.

* spin magnetization: 0.000 μB per atom
* offset from the most stable computed form: 0.000 eV per atom

CIF file:
```
data_AcAs3
_cell_length_a 4.820
_cell_length_b 4.820
_cell_length_c 4.461
_cell_angle_alpha 90.00
_cell_angle_beta 90.00
_cell_angle_gamma 90.00
_symmetry_space_group_name_H-M 'P 4 m m'
_symmetry_Int_Tables_number 99
loop_
_symmetry_equiv_pos_as_xyz
'x,y,z'
'-y,x,z'
'-x,-y,z'
'y,-x,z'
'-x,y,z'
'y,x,z'
'x,-y,z'
'-y,-x,z'
loop_
_atom_site_label
_atom_site_type_symbol
_atom_site_fract_x
_atom_site_fract_y
_atom_site_fract_z
Ac1 Ac 0.000 0.000 0.000
As1 As 0.000 0.500 0.492
As2 As 0.500 0.500 0.235
```



Record 2
DFT (PBE) results for crystalline Ac2As at its relaxed geometry.

* spin magnetization: 0.000 μB per atom

CIF file:
```
data_Ac2As
_cell_length_a 3.959
_cell_length_b 3.959
_cell_length_c 13.813
_cell_angle_alpha 90.00
_cell_angle_beta 90.00
_cell_angle_gamma 90.00
_symmetry_space_group_name_H-M 'I 4/m m m'
_symmetry_Int_Tables_number 139
_symmetry_space_group_name_Hall '-I 4 2'
loop_
_atom_site_label
_atom_site_type_symbol
_atom_site_fract_x
_atom_site_fract_y
_atom_site_fract_z
Ac1 Ac 0.000 0.000 0.127
As1 As 0.000 0.000 0.500
```



Record 3
DFT (PBE) results for crystalline AcAs at its relaxed geometry.

* spin magnetization: 0.000 μB per atom
* offset from the most stable computed form: 0.349 eV per atom

CIF file:
```
data_AcAs
_cell_length_a 3.873
_cell_length_b 3.873
_cell_length_c 3.873
_cell_angle_alpha 90.00
_cell_angle_beta 90.00
_cell_angle_gamma 90.00
_symmetry_space_group_name_H-M 'P m -3 m'
_symmetry_Int_Tables_number 221
_symmetry_space_group_name_Hall '-P 4 2 3'
loop_
_atom_site_label
_atom_site_type_symbol
_atom_site_fract_x
_atom_site_fract_y
_atom_site_fract_z
Ac1 Ac 0.000 0.000 0.000
As1 As 0.500 0.500 0.500
```



Record 4
DFT (PBE) results for crystalline AcAs at its relaxed geometry.

* spin magnetization: 0.000 μB per atom
* offset from the most stable computed form: 0.000 eV per atom

CIF file:
```
data_AcAs
_cell_length_a 6.438
_cell_length_b 6.438
_cell_length_c 6.438
_cell_angle_alpha 90.00
_cell_angle_beta 90.00
_cell_angle_gamma 90.00
_symmetry_space_group_name_H-M 'F m -3 m'
_symmetry_Int_Tables_number 225
_symmetry_space_group_name_Hall '-F 4 2 3'
loop_
_atom_site_label
_atom_site_type_symbol
_atom_site_fract_x
_atom_site_fract_y
_atom_site_fract_z
Ac1 Ac 0.000 0.000 0.000
As1 As 0.000 0.000 0.500
```



| no. | final energy (eV per atom) |
| --- | --- |
| 1 | -5.12 |
| 2 | -5.01 |
| 3 | -5.51 |
| 4 | -5.86 |